1.
Density functional theory data (PBE-GGA) for crystalline AsHCl2 at its relaxed geometry.

Calculated values
- VASP energy (eV per atom) = -2.43
- energy above the lowest structure with this stoichiometry (eV/atom) = 0.4121
- crystal system = tetragonal

a = 5.657 Å, b = 5.657 Å, c = 9.025 Å
α = 90.00°, β = 90.00°, γ = 90.00°
Space group I-42d (No. 122)
One atom of each set of equivalent atoms:
As  0.000  0.000  0.000 (multiplicity 4)
H  0.000  0.000  0.500 (multiplicity 4)
Cl  0.136  0.250  0.625 (multiplicity 8)

2.
Density functional theory data (PBE-GGA) for crystalline AsHCl2 at its relaxed geometry.

Calculated values
- VASP energy (eV per atom) = -2.31
- energy above the lowest structure with this stoichiometry (eV/atom) = 0.5327
- crystal system = cubic

a = 6.519 Å, b = 6.519 Å, c = 6.519 Å
α = 90.00°, β = 90.00°, γ = 90.00°
Space group Fm-3m (No. 225)
One atom of each set of equivalent atoms:
As  0.000  0.000  0.000 (multiplicity 4)
H  0.000  0.000  0.500 (multiplicity 4)
Cl  0.250  0.250  0.250 (multiplicity 8)

3.
Density functional theory data (PBE-GGA) for crystalline AsHCl2 at its relaxed geometry.

Calculated values
- VASP energy (eV per atom) = -2.61
- energy above the lowest structure with this stoichiometry (eV/atom) = 0.2267
- crystal system = trigonal

a = 3.2600 Å, b = 3.2600 Å, c = 22.2216 Å
α = 90.00°, β = 90.00°, γ = 120.00°
Space group R-3m (No. 166, hexagonal axes)
One atom of each set of equivalent atoms:
As  0.0000  0.0000  0.0000 (multiplicity 3)
H  0.0000  0.0000  0.5000 (multiplicity 3)
Cl  0.0000  0.0000  0.1091 (multiplicity 6)

4.
Density functional theory data (PBE-GGA) for crystalline AsHCl3 at its relaxed geometry.

Calculated values
- VASP energy (eV per atom) = -2.66
- energy above the lowest structure with this stoichiometry (eV/atom) = 0.4545
- crystal system = cubic

a = 4.971 Å, b = 4.971 Å, c = 4.971 Å
α = 90.00°, β = 90.00°, γ = 90.00°
Space group Pm-3m (No. 221)
One atom of each set of equivalent atoms:
As  0.000  0.000  0.000 (multiplicity 1)
H  0.500  0.500  0.500 (multiplicity 1)
Cl  0.000  0.000  0.500 (multiplicity 3)

5.
Density functional theory data (PBE-GGA) for crystalline As2HCl at its relaxed geometry.

Calculated values
- VASP energy (eV per atom) = -2.70
- energy above the lowest structure with this stoichiometry (eV/atom) = 0.3777
- crystal system = cubic

a = 6.427 Å, b = 6.427 Å, c = 6.427 Å
α = 90.00°, β = 90.00°, γ = 90.00°
Space group Fm-3m (No. 225)
One atom of each set of equivalent atoms:
As  0.250  0.250  0.250 (multiplicity 8)
H  0.000  0.000  0.000 (multiplicity 4)
Cl  0.000  0.000  0.500 (multiplicity 4)

6.
Density functional theory data (PBE-GGA) for crystalline As2HCl at its relaxed geometry.

Calculated values
- VASP energy (eV per atom) = -3.07
- energy above the lowest structure with this stoichiometry (eV/atom) = 0.0000
- crystal system = tetragonal

a = 5.487 Å, b = 5.487 Å, c = 9.815 Å
α = 90.00°, β = 90.00°, γ = 90.00°
Space group I-42d (No. 122)
One atom of each set of equivalent atoms:
As  0.103  0.250  0.125 (multiplicity 8)
H  0.000  0.000  0.000 (multiplicity 4)
Cl  0.000  0.000  0.500 (multiplicity 4)

7.
Density functional theory data (PBE-GGA) for crystalline AsH3Cl at its relaxed geometry.

Calculated values
- VASP energy (eV per atom) = -2.93
- energy above the lowest structure with this stoichiometry (eV/atom) = 0.3365
- crystal system = cubic

a = 3.690 Å, b = 3.690 Å, c = 3.690 Å
α = 90.00°, β = 90.00°, γ = 90.00°
Space group Pm-3m (No. 221)
One atom of each set of equivalent atoms:
As  0.000  0.000  0.000 (multiplicity 1)
H  0.000  0.000  0.500 (multiplicity 3)
Cl  0.500  0.500  0.500 (multiplicity 1)

8.
Density functional theory data (PBE-GGA) for crystalline AsH2Cl8 at its relaxed geometry.

Calculated values
- VASP energy (eV per atom) = -2.70
- crystal system = monoclinic

a = 11.802 Å, b = 9.900 Å, c = 7.127 Å
α = 90.00°, β = 120.20°, γ = 90.00°
Space group C2/m (No. 12)
One atom of each set of equivalent atoms:
As  0.000  0.000  0.000 (multiplicity 2)
H  0.242  0.500  0.565 (multiplicity 4)
Cl  0.084  0.500  0.645 (multiplicity 4)
Cl  0.137  0.166  0.988 (multiplicity 8)
Cl  0.150  0.000  0.446 (multiplicity 4)

9.
Density functional theory data (PBE-GGA) for crystalline As2H7Cl2 at its relaxed geometry.

Calculated values
- VASP energy (eV per atom) = -3.27
- crystal system = monoclinic

a = 7.887 Å, b = 9.114 Å, c = 4.391 Å
α = 90.00°, β = 106.24°, γ = 90.00°
Space group C2/m (No. 12)
One atom of each set of equivalent atoms:
As  0.219  0.000  0.482 (multiplicity 4)
H  0.000  0.000  0.500 (multiplicity 2)
H  0.190  0.367  0.318 (multiplicity 8)
H  0.199  0.500  0.791 (multiplicity 4)
Cl  0.000  0.219  0.000 (multiplicity 4)

10.
Density functional theory data (PBE-GGA) for crystalline AsH3Cl at its relaxed geometry.

Calculated values
- VASP energy (eV per atom) = -3.26
- energy above the lowest structure with this stoichiometry (eV/atom) = 0.0000
- crystal system = trigonal

a = 6.7605 Å, b = 6.7605 Å, c = 5.7875 Å
α = 90.00°, β = 90.00°, γ = 120.00°
Space group R3m (No. 160, hexagonal axes)
One atom of each set of equivalent atoms:
As  0.0000  0.0000  0.0000 (multiplicity 3)
H  0.0983  0.5492  0.7818 (multiplicity 9)
Cl  0.0000  0.0000  0.5366 (multiplicity 3)

11.
Density functional theory data (PBE-GGA) for crystalline AsHCl3 at its relaxed geometry.

Calculated values
- VASP energy (eV per atom) = -3.11
- energy above the lowest structure with this stoichiometry (eV/atom) = 0.0000
- crystal system = monoclinic

a = 4.457 Å, b = 11.178 Å, c = 6.116 Å
α = 90.00°, β = 93.28°, γ = 90.00°
Space group P2_1/m (No. 11)
One atom of each set of equivalent atoms:
As  0.045  0.250  0.218 (multiplicity 2)
H  0.019  0.750  0.469 (multiplicity 2)
Cl  0.037  0.750  0.236 (multiplicity 2)
Cl  0.358  0.098  0.243 (multiplicity 4)

12.
Density functional theory data (PBE-GGA) for crystalline As2HCl8 at its relaxed geometry.

Calculated values
- VASP energy (eV per atom) = -2.77
- crystal system = monoclinic

a = 11.244 Å, b = 9.859 Å, c = 7.619 Å
α = 90.00°, β = 92.85°, γ = 90.00°
Space group C2/m (No. 12)
One atom of each set of equivalent atoms:
As  0.197  0.000  0.314 (multiplicity 4)
H  0.000  0.000  0.000 (multiplicity 2)
Cl  0.084  0.163  0.146 (multiplicity 8)
Cl  0.127  0.500  0.798 (multiplicity 4)
Cl  0.245  0.000  0.613 (multiplicity 4)